Below is Mg2CdSb after structural relaxation, with properties calculated at the GGA-PBEsol level.

The structure in CIF format:
```
data_Mg2CdSb
_chemical_formula_sum 'Mg2 Cd1 Sb1'
_symmetry_space_group_name_H-M 'P 1'
_symmetry_Int_Tables_number 1
_cell_length_a 3.1262
_cell_length_b 5.4206
_cell_length_c 5.4522
_cell_angle_alpha 104.29
_cell_angle_beta 90.01
_cell_angle_gamma 90.00
loop_
_symmetry_equiv_pos_as_xyz
'x,y,z'
loop_
_atom_site_label
_atom_site_fract_x
_atom_site_fract_y
_atom_site_fract_z
Mg1 0.8750 0.0010 0.1238
Mg2 0.8751 0.4993 0.6266
Sb1 0.3750 0.9988 0.6235
Cd1 0.3748 0.5008 0.1261
```

Output
size of the total moment	0.00	μB/cell
SG	No. 6
ΔE_f (raw)	-0.135	eV/atom
offset from the most stable computed form	16	meV/atom